(1)
Here is an optimized crystal structure of LaY3Er2Tm6 from the Alexandria database. Energies are from GGA-PBE.

Properties
- formation energy (kcal/mol of atoms) = 0.69
- crystal system = monoclinic
- calculated total energy (eV/atom) = -4.9930
- mass density (g/cm3) = 7.78

a b c (Å): 6.1197 6.1197 11.7123
angles (deg): 94.99 94.99 119.96
Last column: nearest neighbours and their distance in Å.
Sites, in units of the cell vectors:
La  0.0000  0.0000  0.0000  6 Er 3.53, 6 Tm 3.54-3.55
Y  0.1670  0.8330  0.5000  6 Tm 3.52-3.53, 6 Y 3.53-3.54
Y  0.8330  0.1670  0.5000  6 Tm 3.52-3.53, 6 Y 3.53-3.54
Y  0.5000  0.5000  0.5000  6 Tm 3.52-3.53, 6 Y 3.53-3.54
Er  0.3334  0.6666  0.0000  3 Er 3.53-3.54, 3 La 3.53, 6 Tm 3.54
Er  0.6666  0.3334  0.0000  3 Er 3.53-3.54, 3 La 3.53, 6 Tm 3.54
Tm  0.9156  0.5810  0.7491  3 Y 3.52-3.53, 6 Tm 3.53-3.55, 2 Er 3.54, 1 La 3.55
Tm  0.7495  0.7495  0.2509  3 Y 3.52-3.53, 6 Tm 3.53-3.55, 2 Er 3.54, 1 La 3.54
Tm  0.0844  0.4190  0.2509  3 Y 3.52-3.53, 6 Tm 3.53-3.55, 2 Er 3.54, 1 La 3.55
Tm  0.5810  0.9156  0.7491  3 Y 3.52-3.53, 6 Tm 3.53-3.55, 2 Er 3.54, 1 La 3.55
Tm  0.2505  0.2505  0.7491  3 Y 3.52-3.53, 6 Tm 3.53-3.55, 2 Er 3.54, 1 La 3.54
Tm  0.4190  0.0844  0.2509  3 Y 3.52-3.53, 6 Tm 3.53-3.55, 2 Er 3.54, 1 La 3.55

***

(2)
Here is an optimized crystal structure of EuThIn4 from the Alexandria database. Energies are from GGA-PBE.

Properties
- formation energy (kcal/mol of atoms) = -6.87
- crystal system = cubic
- calculated total energy (eV/atom) = -5.0728
- mass density (g/cm3) = 8.69

a b c (Å): 6.1070 6.1070 6.1070
angles (deg): 60.00 60.00 60.00
Last column: nearest neighbours and their distance in Å.
Sites, in units of the cell vectors:
Eu  0.2500  0.2500  0.2500  12 In 3.58, 4 Th 3.74
Th  0.0000  0.0000  0.0000  12 In 3.58, 4 Eu 3.74
In  0.6251  0.6251  0.1246  6 In 3.05-3.06
In  0.6251  0.1246  0.6251  6 In 3.05-3.06
In  0.6251  0.6251  0.6251  6 In 3.05-3.06
In  0.1246  0.6251  0.6251  6 In 3.05-3.06

***

(3)
Here is an optimized crystal structure of FeSiNiIr from the Alexandria database. Energies are from GGA-PBE.

Properties
- crystal system = cubic
- uncorrected formation energy (meV/atom) = -297
- calculated total energy (eV/atom) = -7.4288
- mass density (g/cm3) = 11.49

a b c (Å): 4.0908 4.0908 4.0908
angles (deg): 60.00 60.00 60.00
Last column: nearest neighbours and their distance in Å.
Sites, in units of the cell vectors:
Ni  0.7500  0.7500  0.7500  4 Fe 2.51, 4 Ir 2.51
Si  0.2500  0.2500  0.2500  4 Fe 2.51, 4 Ir 2.51
Ir  0.5000  0.5000  0.5000  4 Ni 2.51, 4 Si 2.51
Fe  0.0000  0.0000  0.0000  4 Si 2.51, 4 Ni 2.51

***

(4)
Here is an optimized crystal structure of Cs4Rb2Pt from the Alexandria database. Energies are from GGA-PBE.

Properties
- formation energy (kcal/mol of atoms) = 0.77
- ΔE to the lowest computed polymorph (eV per atom) = 0.027
- crystal system = monoclinic
- calculated total energy (eV/atom) = -1.5936
- mass density (g/cm3) = 2.89

a b c (Å): 6.2546 9.3900 10.0477
angles (deg): 112.12 108.13 90.00
Last column: nearest neighbours and their distance in Å.
Sites, in units of the cell vectors:
Cs  0.1250  0.7982  0.2500  1 Pt 3.59
Cs  0.8750  0.2018  0.7500  1 Pt 3.59
Cs  0.4673  0.7737  0.9346  2 Pt 3.69, 1 Cs 3.93
Cs  0.5327  0.2263  0.0654  2 Pt 3.69, 1 Cs 3.93
Rb  0.1881  0.2856  0.3761  1 Pt 3.53
Rb  0.8119  0.7144  0.6239  1 Pt 3.53
Pt  0.0000  0.0000  0.0000  2 Rb 3.53, 6 Cs 3.59-3.69